[1]
## Mg2Be2TlPd5 (PBE-GGA)

Data for crystalline Mg2Be2TlPd5 at its relaxed geometry.

CIF file:
```
data_Mg2Be2TlPd5
_space_group_name_H-M_alt 'P 4/m b m'
_space_group_IT_number 127
_space_group_name_Hall '-P 4 2ab'
_cell_length_a 9.5796
_cell_length_b 9.5796
_cell_length_c 3.3692
_cell_angle_alpha 90.00
_cell_angle_beta 90.00
_cell_angle_gamma 90.00
loop_
_atom_site_label
_atom_site_type_symbol
_atom_site_fract_x
_atom_site_fract_y
_atom_site_fract_z
_atom_site_occupancy
Mg1 Mg 0.1750 0.3250 0.0000 1
Be1 Be 0.1224 0.6224 0.0000 1
Tl1 Tl 0.0000 0.0000 0.0000 1
Pd1 Pd 0.0000 0.5000 0.5000 1
Pd2 Pd 0.0732 0.7809 0.5000 1
```

- E_form: -0.518 eV/atom

[2]
## Li3MgPd6 (PBE-GGA)

Data for crystalline Li3MgPd6 at its relaxed geometry.

CIF file:
```
data_Li3MgPd6
_space_group_name_H-M_alt 'C m c 21'
_space_group_IT_number 36
_cell_length_a 9.3128
_cell_length_b 11.5526
_cell_length_c 5.4734
_cell_angle_alpha 90.00
_cell_angle_beta 90.00
_cell_angle_gamma 90.00
loop_
_space_group_symop_operation_xyz
'x,y,z'
'-x,-y,z+1/2'
'-x,y,z'
'x,-y,z+1/2'
'x+1/2,y+1/2,z'
'-x+1/2,-y+1/2,z+1/2'
'-x+1/2,y+1/2,z'
'x+1/2,-y+1/2,z+1/2'
loop_
_atom_site_label
_atom_site_type_symbol
_atom_site_fract_x
_atom_site_fract_y
_atom_site_fract_z
_atom_site_occupancy
Li1 Li 0.0000 0.0073 0.0000 1
Li2 Li 0.1249 0.3806 0.9158 1
Mg1 Mg 0.0000 0.2176 0.2903 1
Pd1 Pd 0.0000 0.1936 0.7752 1
Pd2 Pd 0.0000 0.4286 0.4875 1
Pd3 Pd 0.2282 0.0329 0.7232 1
Pd4 Pd 0.2454 0.2908 0.5575 1
```

- Energy relative to the lowest polymorph listed for this composition: 110 kJ/mol of formula units
- E_form: -0.314 eV/atom

[3]
## Ac5La2Y4 (PBE-GGA)

Data for crystalline Ac5La2Y4 at its relaxed geometry.

CIF file:
```
data_Ac5La2Y4
_space_group_name_H-M_alt 'C 1 2/m 1'
_space_group_IT_number 12
_cell_length_a 25.5126
_cell_length_b 3.7782
_cell_length_c 9.1019
_cell_angle_alpha 90.00
_cell_angle_beta 95.78
_cell_angle_gamma 90.00
loop_
_space_group_symop_operation_xyz
'x,y,z'
'-x,-y,-z'
'-x,y,-z'
'x,-y,z'
'x+1/2,y+1/2,z'
'-x+1/2,-y+1/2,-z'
'-x+1/2,y+1/2,-z'
'x+1/2,-y+1/2,z'
loop_
_atom_site_label
_atom_site_type_symbol
_atom_site_fract_x
_atom_site_fract_y
_atom_site_fract_z
_atom_site_occupancy
Ac1 Ac 0.0000 0.0000 0.0000 1
Ac2 Ac 0.1338 0.5000 0.0464 1
Ac3 Ac 0.1827 0.5000 0.4727 1
La1 La 0.0864 0.0000 0.6884 1
Y1 Y 0.0378 0.5000 0.3464 1
Y2 Y 0.2263 0.0000 0.8278 1
```

- E_form: 0.124 eV/atom

[4]
## Li2Ag4Bi (PBE-GGA)

Data for crystalline Li2Ag4Bi at its relaxed geometry.

CIF file:
```
data_Li2Ag4Bi
_space_group_name_H-M_alt 'I 4/m m m'
_space_group_IT_number 139
_space_group_name_Hall '-I 4 2'
_cell_length_a 7.1132
_cell_length_b 7.1132
_cell_length_c 5.3976
_cell_angle_alpha 90.00
_cell_angle_beta 90.00
_cell_angle_gamma 90.00
loop_
_atom_site_label
_atom_site_type_symbol
_atom_site_fract_x
_atom_site_fract_y
_atom_site_fract_z
_atom_site_occupancy
Li1 Li 0.0000 0.5000 0.2500 1
Ag1 Ag 0.2000 0.2000 0.0000 1
Bi1 Bi 0.0000 0.0000 0.5000 1
```

- Energy relative to the lowest polymorph listed for this composition: 79 kJ/mol of formula units
- E_form: -0.035 eV/atom

[5]
## CoAg2Ge (PBE-GGA)

Data for crystalline CoAg2Ge at its relaxed geometry.

CIF file:
```
data_CoAg2Ge
_space_group_name_H-M_alt 'I -4 2 d'
_space_group_IT_number 122
_space_group_name_Hall 'I -4 2bw'
_cell_length_a 3.7437
_cell_length_b 3.7437
_cell_length_c 19.4258
_cell_angle_alpha 90.00
_cell_angle_beta 90.00
_cell_angle_gamma 90.00
loop_
_atom_site_label
_atom_site_type_symbol
_atom_site_fract_x
_atom_site_fract_y
_atom_site_fract_z
_atom_site_occupancy
Co1 Co 0.0000 0.0000 0.0000 1
Ag1 Ag 0.2477 0.2500 0.1250 1
Ge1 Ge 0.0000 0.0000 0.5000 1
```

- E_form: 0.481 eV/atom

[6]
## MnHgRu2 (PBE-GGA)

Data for crystalline MnHgRu2 at its relaxed geometry.

CIF file:
```
data_MnHgRu2
_space_group_name_H-M_alt 'R -3 m'
_space_group_IT_number 166
_space_group_name_Hall '-R 3 2"'
_cell_length_a 2.7587
_cell_length_b 2.7587
_cell_length_c 27.1914
_cell_angle_alpha 90.00
_cell_angle_beta 90.00
_cell_angle_gamma 120.00
loop_
_atom_site_label
_atom_site_type_symbol
_atom_site_fract_x
_atom_site_fract_y
_atom_site_fract_z
_atom_site_occupancy
Mn1 Mn 0.0000 0.0000 0.0000 1
Hg1 Hg 0.0000 0.0000 0.5000 1
Ru1 Ru 0.0000 0.0000 0.2613 1
```

- E_form: 0.365 eV/atom

[7]
## Tm2ZnIn2 (PBE-GGA)

Data for crystalline Tm2ZnIn2 at its relaxed geometry.

CIF file:
```
data_Tm2ZnIn2
_space_group_name_H-M_alt 'C 1 2/m 1'
_space_group_IT_number 12
_cell_length_a 10.9671
_cell_length_b 4.5958
_cell_length_c 10.6906
_cell_angle_alpha 90.00
_cell_angle_beta 115.90
_cell_angle_gamma 90.00
loop_
_space_group_symop_operation_xyz
'x,y,z'
'-x,-y,-z'
'-x,y,-z'
'x,-y,z'
'x+1/2,y+1/2,z'
'-x+1/2,-y+1/2,-z'
'-x+1/2,y+1/2,-z'
'x+1/2,-y+1/2,z'
loop_
_atom_site_label
_atom_site_type_symbol
_atom_site_fract_x
_atom_site_fract_y
_atom_site_fract_z
_atom_site_occupancy
Tm1 Tm 0.0156 0.0000 0.3328 1
Tm2 Tm 0.1770 0.0000 0.0974 1
Zn1 Zn 0.2214 0.5000 0.3290 1
In1 In 0.0318 0.5000 0.8802 1
In2 In 0.1482 0.5000 0.5667 1
```

- Energy relative to the lowest polymorph listed for this composition: 5 kJ/mol of formula units
- E_form: -0.380 eV/atom

[8]
## Li3Tl2IrO6 (PBE-GGA)

Data for crystalline Li3Tl2IrO6 at its relaxed geometry.

CIF file:
```
data_Li3Tl2IrO6
_space_group_name_H-M_alt 'C 1 2/m 1'
_space_group_IT_number 12
_cell_length_a 5.7197
_cell_length_b 10.6216
_cell_length_c 5.1346
_cell_angle_alpha 90.00
_cell_angle_beta 108.06
_cell_angle_gamma 90.00
loop_
_space_group_symop_operation_xyz
'x,y,z'
'-x,-y,-z'
'-x,y,-z'
'x,-y,z'
'x+1/2,y+1/2,z'
'-x+1/2,-y+1/2,-z'
'-x+1/2,y+1/2,-z'
'x+1/2,-y+1/2,z'
loop_
_atom_site_label
_atom_site_type_symbol
_atom_site_fract_x
_atom_site_fract_y
_atom_site_fract_z
_atom_site_occupancy
Li1 Li 0.0000 0.0000 0.0000 1
Li2 Li 0.0000 0.3823 0.0000 1
Tl1 Tl 0.0000 0.1726 0.5000 1
Ir1 Ir 0.0000 0.5000 0.5000 1
O1 O 0.2057 0.3635 0.7357 1
O2 O 0.2312 0.5000 0.2702 1
```

- Formation energy without anion corrections: -1.1790 eV per atom

What did the fourth record say?
## Li2Ag4Bi (PBE-GGA)

Data for crystalline Li2Ag4Bi at its relaxed geometry.

CIF file:
```
data_Li2Ag4Bi
_space_group_name_H-M_alt 'I 4/m m m'
_space_group_IT_number 139
_space_group_name_Hall '-I 4 2'
_cell_length_a 7.1132
_cell_length_b 7.1132
_cell_length_c 5.3976
_cell_angle_alpha 90.00
_cell_angle_beta 90.00
_cell_angle_gamma 90.00
loop_
_atom_site_label
_atom_site_type_symbol
_atom_site_fract_x
_atom_site_fract_y
_atom_site_fract_z
_atom_site_occupancy
Li1 Li 0.0000 0.5000 0.2500 1
Ag1 Ag 0.2000 0.2000 0.0000 1
Bi1 Bi 0.0000 0.0000 0.5000 1
```

- Energy relative to the lowest polymorph listed for this composition: 79 kJ/mol of formula units
- E_form: -0.035 eV/atom